## Ce6PuPd2 (PBE)

Data for a relaxed Ce6PuPd2 crystal.

abc: 6.378 7.509 11.672
angles: 90.00 121.42 90.00
Atoms (fractional coordinates):
1 Ce 0.114 0.032 0.236
2 Ce 0.114 0.468 0.736
3 Ce 0.204 0.707 0.055
4 Ce 0.204 0.793 0.555
5 Ce 0.385 0.156 0.057
6 Ce 0.385 0.344 0.557
7 Ce 0.615 0.656 0.443
8 Ce 0.615 0.844 0.943
9 Ce 0.796 0.207 0.445
10 Ce 0.796 0.293 0.945
11 Ce 0.886 0.532 0.264
12 Ce 0.886 0.968 0.764
13 Pu 0.000 0.000 0.000
14 Pu 0.000 0.500 0.500
15 Pd 0.302 0.101 0.733
16 Pd 0.302 0.399 0.233
17 Pd 0.698 0.601 0.767
18 Pd 0.698 0.899 0.267

Properties
The space-group type is P2_1/c (14). Its total energy is -126.814 eV/cell.